No. 1
A plane-wave DFT calculation with PBE was carried out for a relaxed structure of Na2LaGaSe4.

Unit cell a=11.7527 b=11.9692 c=7.9398 alpha=90.00 beta=132.00 gamma=90.00
Closest atoms and distances in Å follow each position.
Space group C2/c (No. 15)
Inequivalent atoms, fractional coordinates:
Na (0.0000, 0.0000, 0.0000) [4 per cell]  6 Se 3.01-3.33
Na (0.2500, 0.2500, 0.0000) [4 per cell]  6 Se 2.92-2.98
La (0.2500, 0.2500, 0.5000) [4 per cell]  6 Se 2.95-3.06
Ga (0.0000, 0.5000, 0.0000) [4 per cell]  4 Se 2.56-2.77
Se (0.0010, 0.2513, 0.9997) [8 per cell]  3 Na 2.92-3.01, 2 La 2.95-2.96, 1 Ga 2.98
Se (0.2029, 0.4966, 0.9690) [8 per cell]  2 Ga 2.56-2.77

The final energy comes out at -4.23 eV per atom. As for the uncorrected formation energy: -1.167 eV per atom.

***

No. 2
A plane-wave DFT calculation with PBE was carried out for a relaxed structure of NaLaGa4Se8.

Unit cell a=12.8647 b=21.4841 c=21.5872 alpha=90.00 beta=90.00 gamma=90.00
Closest atoms and distances in Å follow each position.
Space group Fddd (No. 70, origin choice 2)
Inequivalent atoms, fractional coordinates:
Na (0.1250, 0.1250, 0.3720) [16 per cell]  8 Se 3.18-3.32
La (0.1250, 0.1250, 0.1250) [8 per cell]  8 Se 3.17-3.19
La (0.1250, 0.1250, 0.6250) [8 per cell]  8 Se 3.18-3.19
Ga (0.0840, 0.3050, 0.2508) [32 per cell]  4 Se 2.42-2.47
Ga (0.1240, 0.2606, 0.7521) [32 per cell]  4 Se 2.42-2.46
Se (0.0023, 0.0928, 0.2480) [32 per cell]  2 Ga 2.42-2.46
Se (0.0031, 0.0016, 0.0864) [32 per cell]  2 Ga 2.45-2.47
Se (0.0047, 0.0018, 0.5861) [32 per cell]  2 Ga 2.46
Se (0.0161, 0.0834, 0.7512) [32 per cell]  2 Ga 2.42-2.46

The final energy comes out at -4.25 eV per atom. As for the uncorrected formation energy: -0.951 eV per atom.

***

No. 3
A plane-wave DFT calculation with PBE was carried out for a relaxed structure of NaLaSmGa.

Unit cell a=7.6494 b=7.6494 c=7.6494 alpha=90.00 beta=90.00 gamma=90.00
Closest atoms and distances in Å follow each position.
Space group F-43m (No. 216)
Inequivalent atoms, fractional coordinates:
Na (0.0000, 0.0000, 0.0000) [4 per cell]  4 La 3.31, 4 Sm 3.31
La (0.2500, 0.2500, 0.2500) [4 per cell]  4 Na 3.31, 4 Ga 3.31
Sm (0.2500, 0.2500, 0.7500) [4 per cell]  4 Na 3.31, 4 Ga 3.31
Ga (0.0000, 0.0000, 0.5000) [4 per cell]  4 La 3.31, 4 Sm 3.31

The final energy comes out at -3.65 eV per atom. As for the formation energy: -0.602 eV per formula unit.

***

No. 4
A plane-wave DFT calculation with PBE was carried out for a relaxed structure of NaLaGaSn.

Unit cell a=7.5551 b=7.5551 c=7.5551 alpha=90.00 beta=90.00 gamma=90.00
Closest atoms and distances in Å follow each position.
Space group F-43m (No. 216)
Inequivalent atoms, fractional coordinates:
Na (0.0000, 0.0000, 0.0000) [4 per cell]  4 Sn 3.27, 4 Ga 3.27
La (0.0000, 0.0000, 0.5000) [4 per cell]  4 Sn 3.27, 4 Ga 3.27
Ga (0.2500, 0.2500, 0.2500) [4 per cell]  4 La 3.27, 4 Na 3.27
Sn (0.2500, 0.2500, 0.7500) [4 per cell]  4 La 3.27, 4 Na 3.27

The final energy comes out at -3.69 eV per atom. As for the formation energy: -1.496 eV per formula unit.

***

No. 5
A plane-wave DFT calculation with PBE was carried out for a relaxed structure of NaLaTbGa.

Unit cell a=7.6002 b=7.6002 c=7.6002 alpha=90.00 beta=90.00 gamma=90.00
Closest atoms and distances in Å follow each position.
Space group F-43m (No. 216)
Inequivalent atoms, fractional coordinates:
Na (0.0000, 0.0000, 0.0000) [4 per cell]  4 Tb 3.29, 4 La 3.29
La (0.2500, 0.2500, 0.7500) [4 per cell]  4 Na 3.29, 4 Ga 3.29
Tb (0.2500, 0.2500, 0.2500) [4 per cell]  4 Na 3.29, 4 Ga 3.29
Ga (0.0000, 0.0000, 0.5000) [4 per cell]  4 La 3.29, 4 Tb 3.29

The final energy comes out at -3.62 eV per atom. As for the formation energy: -0.565 eV per formula unit.

***

No. 6
A plane-wave DFT calculation with PBE was carried out for a relaxed structure of NaLa2GaTc.

Unit cell a=5.4443 b=5.4443 c=5.0849 alpha=90.00 beta=90.00 gamma=90.00
Closest atoms and distances in Å follow each position.
Space group P4/mmm (No. 123)
Inequivalent atoms, fractional coordinates:
Na (0.0000, 0.0000, 0.0000) [1 per cell]  8 La 3.72, 4 Ga 3.85
La (0.0000, 0.5000, 0.5000) [2 per cell]  2 Tc 2.72
Ga (0.5000, 0.5000, 0.0000) [1 per cell]  2 Tc 2.54
Tc (0.5000, 0.5000, 0.5000) [1 per cell]  2 Ga 2.54, 4 La 2.72

The final energy comes out at -4.98 eV per atom. As for the formation energy: -0.316 eV per formula unit.